The following is a PBE calculation of a relaxed structure of Si3Os, from the Alexandria database.

Values from the calculation:
DFT total energy = -6.4649 eV/atom

Cell lengths 5.3070, 5.3070, 4.5076 Å; angles 90.00, 90.00, 120.00 degrees
Space group P6_3/mmc (No. 194)
Inequivalent atoms, fractional coordinates:
Si 0.1730 0.3461 0.2500 x6
Os 0.3333 0.6667 0.7500 x2